Record 1
Here is an optimized crystal structure of Er3InIr2 from Alexandria. Energies are from PBE.

CIF file:
```
data_Er3InIr2
_symmetry_space_group_name_H-M 'P 4/m m m'
_symmetry_Int_Tables_number 123
_symmetry_space_group_name_Hall '-P 4 2'
_cell_length_a 3.3338
_cell_length_b 3.3338
_cell_length_c 11.9309
_cell_angle_alpha 90.00
_cell_angle_beta 90.00
_cell_angle_gamma 90.00
loop_
_atom_site_label
_atom_site_type_symbol
_atom_site_fract_x
_atom_site_fract_y
_atom_site_fract_z
Er1 Er 0.0000 0.0000 0.0000
Er2 Er 0.0000 0.0000 0.2916
In1 In 0.5000 0.5000 0.5000
Ir1 Ir 0.5000 0.5000 0.1509
```

Results
DOS at the Fermi energy   4.4 states/eV per cell
Formation energy   -753.8 meV/atom
Total energy   -6.445 eV/atom

=====

Record 2
Here is an optimized crystal structure of TbPuHg4 from Alexandria. Energies are from PBE.

CIF file:
```
data_TbPuHg4
_symmetry_space_group_name_H-M 'P m m m'
_symmetry_Int_Tables_number 47
_cell_length_a 3.3019
_cell_length_b 5.0480
_cell_length_c 8.7743
_cell_angle_alpha 90.00
_cell_angle_beta 90.00
_cell_angle_gamma 90.00
loop_
_symmetry_equiv_pos_as_xyz
'x,y,z'
'-x,-y,-z'
'-x,-y,z'
'x,y,-z'
'x,-y,-z'
'-x,y,z'
'-x,y,-z'
'x,-y,z'
loop_
_atom_site_label
_atom_site_type_symbol
_atom_site_fract_x
_atom_site_fract_y
_atom_site_fract_z
Tb1 Tb 0.0000 0.0000 0.0000
Pu1 Pu 0.0000 0.5000 0.5000
Hg1 Hg 0.5000 0.0000 0.3313
Hg2 Hg 0.5000 0.5000 0.1645
```

Results
DOS at the Fermi energy   11.5 states/eV per cell
Formation energy   -278.4 meV/atom
Total energy   -3.640 eV/atom

=====

Record 3
Here is an optimized crystal structure of MgOsRh from Alexandria. Energies are from PBE.

CIF file:
```
data_MgOsRh
_symmetry_space_group_name_H-M 'P 3 m 1'
_symmetry_Int_Tables_number 156
_cell_length_a 2.7832
_cell_length_b 2.7832
_cell_length_c 6.7542
_cell_angle_alpha 90.00
_cell_angle_beta 90.00
_cell_angle_gamma 120.00
loop_
_symmetry_equiv_pos_as_xyz
'x,y,z'
'-y,x-y,z'
'-x+y,-x,z'
'-y,-x,z'
'-x+y,y,z'
'x,x-y,z'
loop_
_atom_site_label
_atom_site_type_symbol
_atom_site_fract_x
_atom_site_fract_y
_atom_site_fract_z
Mg1 Mg 0.0000 0.0000 0.0000
Os1 Os 0.6667 0.3333 0.3480
Rh1 Rh 0.3333 0.6667 0.6629
```

Results
DOS at the Fermi energy   4.0 states/eV per cell
Formation energy   78.1 meV/atom
Total energy   -6.647 eV/atom

=====

Record 4
Here is an optimized crystal structure of SbIrRh from Alexandria. Energies are from PBE.

CIF file:
```
data_SbIrRh
_symmetry_space_group_name_H-M 'P 3 m 1'
_symmetry_Int_Tables_number 156
_cell_length_a 3.1023
_cell_length_b 3.1023
_cell_length_c 6.1684
_cell_angle_alpha 90.00
_cell_angle_beta 90.00
_cell_angle_gamma 120.00
loop_
_symmetry_equiv_pos_as_xyz
'x,y,z'
'-y,x-y,z'
'-x+y,-x,z'
'-y,-x,z'
'-x+y,y,z'
'x,x-y,z'
loop_
_atom_site_label
_atom_site_type_symbol
_atom_site_fract_x
_atom_site_fract_y
_atom_site_fract_z
Sb1 Sb 0.0000 0.0000 0.0000
Ir1 Ir 0.6667 0.3333 0.3289
Rh1 Rh 0.3333 0.6667 0.6789
```

Results
DOS at the Fermi energy   3.5 states/eV per cell
Total energy   -6.541 eV/atom
Uncorrected formation energy   0.24 eV per atom

=====

Record 5
Here is an optimized crystal structure of PrTmNiHg from Alexandria. Energies are from PBE.

CIF file:
```
data_PrTmNiHg
_symmetry_space_group_name_H-M 'F -4 3 m'
_symmetry_Int_Tables_number 216
_symmetry_space_group_name_Hall 'F -4 2 3'
_cell_length_a 7.2507
_cell_length_b 7.2507
_cell_length_c 7.2507
_cell_angle_alpha 90.00
_cell_angle_beta 90.00
_cell_angle_gamma 90.00
loop_
_atom_site_label
_atom_site_type_symbol
_atom_site_fract_x
_atom_site_fract_y
_atom_site_fract_z
Pr1 Pr 0.0000 0.0000 0.0000
Tm1 Tm 0.0000 0.0000 0.5000
Ni1 Ni 0.2500 0.2500 0.7500
Hg1 Hg 0.2500 0.2500 0.2500
```

Results
DOS at the Fermi energy   14.7 states/eV per cell
Formation energy   -297.3 meV/atom
Total energy   -4.131 eV/atom

=====

Record 6
Here is an optimized crystal structure of FeReTcMo from Alexandria. Energies are from PBE.

CIF file:
```
data_FeReTcMo
_symmetry_space_group_name_H-M 'F -4 3 m'
_symmetry_Int_Tables_number 216
_symmetry_space_group_name_Hall 'F -4 2 3'
_cell_length_a 6.1446
_cell_length_b 6.1446
_cell_length_c 6.1446
_cell_angle_alpha 90.00
_cell_angle_beta 90.00
_cell_angle_gamma 90.00
loop_
_atom_site_label
_atom_site_type_symbol
_atom_site_fract_x
_atom_site_fract_y
_atom_site_fract_z
Fe1 Fe 0.0000 0.0000 0.0000
Re1 Re 0.2500 0.2500 0.7500
Tc1 Tc 0.2500 0.2500 0.2500
Mo1 Mo 0.0000 0.0000 0.5000
```

Results
DOS at the Fermi energy   12.8 states/eV per cell
Formation energy   124.0 meV/atom
Total energy   -10.403 eV/atom

=====

Which of these has the lowest DOS at the Fermi energy?
SbIrRh